9
Lattice="-2.0988 2.0607 4.8476 1.3836 -1.4494 5.3042 4.7405 4.9519 0.0492" Properties=species:S:1:pos:R:3 comment="MnHgBF6, relaxed, DFT GGA+U" energy_ev_per_cell=-46.1 pbc="T T T"
Mn 1.8940 2.8829 6.7825
Hg -0.0690 0.0590 1.0091
B 2.0990 2.7076 3.8705
F 0.0329 2.3047 6.7068
F 3.7521 3.4638 6.8987
F 2.0783 3.8946 4.6459
F 3.3168 2.5874 3.1424
F 2.0011 1.6218 4.7772
F 0.9960 2.7298 2.9702